Entry 1:
Here is an optimized crystal structure of ScGa3Ir from the Alexandria database. Energies are from PBE. Values from VASP.

```
&SYSTEM
  ibrav = 0, nat = 15, ntyp = 3
/
ATOMIC_SPECIES
Ga 69.72 Ga.upf
Sc 44.96 Sc.upf
Ir 192.22 Ir.upf
ATOMIC_POSITIONS angstrom
Ga 0.795 2.915 4.327
Sc -0.323 0.295 4.420
Ga -5.297 2.596 3.902
Ga -3.516 4.304 6.427
Ga -1.349 1.538 6.770
Ga -2.251 2.756 4.114
Ga -1.372 5.681 3.983
Ga -3.130 -0.170 4.245
Ir 1.584 1.520 2.246
Ir -1.927 2.460 -0.305
Ga -3.153 3.973 1.458
Ir -1.907 -1.224 2.174
Sc -3.835 1.236 1.868
Sc -0.343 3.980 1.941
Ga -0.986 1.207 1.802
CELL_PARAMETERS angstrom
-3.855 4.921 -0.611
-3.815 -2.449 4.347
3.168 3.039 4.492
```

Raw total energy ... -5.50 eV per atom
E above lowest polymorph ... 0.0 meV/atom
Space-group type ... Pm-3m, No. 221
ΔE_f ... -14.921 kcal/mol of atoms

Entry 2:
Here is an optimized crystal structure of Er4Mg3Zn from the Alexandria database. Energies are from PBE. Values from VASP.

```
&SYSTEM
  ibrav = 0, nat = 8, ntyp = 3
/
ATOMIC_SPECIES
Mg 24.30 Mg.upf
Er 167.26 Er.upf
Zn 65.41 Zn.upf
ATOMIC_POSITIONS angstrom
Mg 1.687 0.000 11.603
Er 0.000 0.000 2.019
Mg 0.000 2.482 6.974
Er 0.000 2.482 10.353
Er 1.687 0.000 8.349
Zn 1.687 2.482 0.832
Er 1.687 2.482 3.924
Mg 0.000 0.000 5.328
CELL_PARAMETERS angstrom
3.373 0.000 0.000
0.000 4.964 0.000
0.000 0.000 12.345
```

Raw total energy ... -3.10 eV per atom
E above lowest polymorph ... 70.9 meV/atom
Space-group type ... Pmm2, No. 25
ΔE_f ... -1.410 kcal/mol of atoms

Entry 3:
Here is an optimized crystal structure of Na2ZnGaF7 from the Alexandria database. Energies are from PBE. Values from VASP.

```
&SYSTEM
  ibrav = 0, nat = 88, ntyp = 4
/
ATOMIC_SPECIES
F 19.00 F.upf
Na 22.99 Na.upf
Ga 69.72 Ga.upf
Zn 65.41 Zn.upf
ATOMIC_POSITIONS angstrom
F -10.665 -0.136 -6.555
F -15.281 12.189 -3.964
F -3.823 3.877 0.541
F -13.604 9.780 -3.357
F -19.482 14.041 -4.209
Na -2.912 2.142 -0.433
Ga -10.040 8.762 1.463
F -13.815 10.342 -0.694
F -14.172 12.644 1.202
F -10.627 10.888 -2.253
F -14.355 7.605 -4.662
F -5.471 -0.833 -1.646
F -5.956 7.808 0.986
F -11.620 5.553 -3.601
F -8.950 10.313 0.994
Na -4.951 -1.270 -3.764
F -17.349 10.110 -4.654
F -12.641 18.054 2.887
F -7.852 5.062 -2.362
Na -3.338 -1.467 -0.467
F -11.621 9.498 0.675
F -19.929 17.161 0.118
F -7.212 7.944 -1.595
F -12.943 12.533 -2.609
Na -8.315 10.426 -1.367
F -11.626 3.358 -2.121
Na -14.012 15.031 -2.496
Zn -7.905 1.006 -4.142
F -7.100 2.283 0.005
Na -10.920 3.058 -4.388
F -15.581 17.046 -1.563
F -5.137 1.988 -1.745
F -7.724 0.872 -2.105
F -10.105 14.511 1.782
F -15.241 16.892 2.513
F -12.679 7.031 -1.415
Zn -4.562 2.419 -3.678
Ga -17.019 17.182 -2.828
F -5.763 4.062 -3.528
F -8.359 3.006 -3.880
Ga -15.871 13.237 0.554
F -14.947 14.912 0.212
F -9.702 8.138 -0.311
F -8.025 5.729 0.296
F -21.330 17.571 -2.284
F -11.680 14.560 -1.547
F -13.200 3.407 -5.450
F -1.975 0.348 -1.384
F -18.168 15.930 -1.922
Zn -18.744 15.499 0.010
F -9.869 0.715 -3.776
F -11.685 12.366 -0.067
Na -9.294 2.888 -1.171
F -5.946 1.239 -4.540
Na -6.702 10.229 1.930
F -9.490 7.577 -2.974
F -16.206 15.635 -3.673
Zn -15.401 16.912 0.474
Na 0.000 0.000 0.000
Ga -11.172 12.718 -1.890
F -15.453 12.856 -1.306
Na -20.394 15.776 -3.235
Zn -8.758 6.626 -1.358
F -7.482 -1.008 -4.335
Zn -14.548 11.293 -2.310
F -16.094 9.975 -2.073
Na -6.017 4.310 -0.664
F -10.362 5.386 -1.059
F -8.064 1.026 -6.181
Ga -7.435 4.681 -4.222
F -3.377 0.757 -3.786
F -9.134 5.274 -4.870
F -13.436 17.203 0.108
Na -17.288 13.608 -3.004
Ga -12.133 5.201 -1.778
Ga -6.287 0.736 -0.840
F -11.685 8.420 -4.343
Na -12.386 14.860 0.720
Zn -10.395 6.859 -4.622
F -17.835 18.751 -2.022
Ga -1.613 0.197 -3.297
Na -13.750 5.491 -5.069
F -17.542 13.857 -0.140
F -15.824 18.926 0.667
F -17.360 16.679 0.872
Na -9.555 12.427 1.401
Na -11.653 8.959 -1.834
Zn -12.911 11.059 0.954
CELL_PARAMETERS angstrom
-3.226 0.394 -6.594
-6.675 -2.934 -0.934
-13.404 20.458 3.860
```

Raw total energy ... -4.46 eV per atom
Space-group type ... C2/c, No. 15